(1)
A relaxed structure of Rb2LiBr4. Source: the Alexandria database, functional PBE-GGA.

Geometry as POSCAR:
```
Rb2LiBr4
1.0
-3.5120 3.5012 -1.5551
0.6407 -1.5432 -4.9213
-7.9898 -5.1243 -2.1777
Br Rb Li
4 2 1
direct
0.8364 0.8364 0.3273 Br
0.5000 0.0000 0.0000 Br
0.1636 0.1636 0.6727 Br
0.0000 0.5000 0.0000 Br
0.3565 0.3565 0.2870 Rb
0.6435 0.6435 0.7130 Rb
0.0000 0.0000 0.0000 Li
```

## Properties
The value obtained for the calculated total energy is -19.81 eV/f.u. The calculation puts the total moment at 1.035 μB per formula unit. The calculation puts the uncorrected formation energy at -1.324 eV/atom. The symmetry is I4/mmm, No. 139.

(2)
A relaxed structure of AlCdGaAg. Source: the Alexandria database, functional PBE-GGA.

Geometry as POSCAR:
```
AlCdGaAg
1.0
2.9535 -0.0026 -0.0022
-0.0026 2.9535 0.0022
-0.0255 0.0255 8.6037
Cd Ag Al Ga
1 1 1 1
direct
0.1491 0.8509 0.7131 Cd
0.6473 0.3527 0.4513 Ag
0.1447 0.8553 0.2320 Al
0.6439 0.3561 0.9924 Ga
```

## Properties
The value obtained for the calculated total energy is -10.49 eV/f.u. The polymorph energy (0 for the lowest one) comes out at 0 meV per atom. The calculation puts the total moment at 0.000 μB per formula unit. The symmetry is Cm, No. 8. As for the formation energy: 0.05 eV/f.u.

(3)
A relaxed structure of CaMnIn2Cl6. Source: the Alexandria database, functional PBE-GGA.

Geometry as POSCAR:
```
CaMnIn2Cl6
1.0
-6.2491 3.2515 2.3374
-6.1987 -4.0074 0.8070
-2.6745 -1.4197 6.6096
Cl Mn In Ca
6 1 2 1
direct
0.1421 0.0096 0.3035 Cl
0.6227 0.0853 0.8018 Cl
0.0863 0.4893 0.8012 Cl
0.4902 0.6228 0.7997 Cl
0.5460 0.1430 0.3019 Cl
0.0096 0.5470 0.3013 Cl
0.3162 0.3162 0.0514 Mn
0.5471 0.5470 0.3596 In
0.0853 0.0853 0.7433 In
0.8162 0.8161 0.5515 Ca
```

## Properties
The value obtained for the calculated total energy is -41.30 eV/f.u. The calculation puts the total moment at 4.999 μB per formula unit. The calculation puts the uncorrected formation energy at -1.358 eV/atom. The symmetry is P-1, No. 2.

(4)
A relaxed structure of ZnTcBr. Source: the Alexandria database, functional PBE-GGA.

Geometry as POSCAR:
```
ZnTcBr
1.0
-1.4330 2.7615 -3.1043
0.5403 -0.9958 -4.2465
-3.4763 -1.0766 -2.4643
Tc Br Zn
1 1 1
direct
0.0000 0.0000 0.0000 Tc
0.7500 0.7500 0.7500 Br
0.5000 0.5000 0.5000 Zn
```

## Properties
The value obtained for the calculated total energy is -9.73 eV/f.u. The polymorph energy (0 for the lowest one) comes out at 791 meV per atom. The calculation puts the total moment at 2.001 μB per formula unit. The calculation puts the uncorrected formation energy at 1.193 eV/atom. The symmetry is F-43m, No. 216.

(5)
A relaxed structure of TiCd2S. Source: the Alexandria database, functional PBE-GGA.

Geometry as POSCAR:
```
TiCd2S
1.0
-3.1303 1.7976 -7.4124
2.1597 -7.4756 -2.7249
-2.7401 -3.7564 -4.3389
S Ti Cd
2 2 4
direct
0.5000 0.5000 0.0000 S
0.2500 0.7500 0.5000 S
0.7500 0.2500 0.5000 Ti
0.0000 0.0000 0.0000 Ti
0.3750 0.4241 0.7500 Cd
0.5759 0.1250 0.2500 Cd
0.8750 0.8259 0.7500 Cd
0.1741 0.6250 0.2500 Cd
```

## Properties
The value obtained for the calculated total energy is -13.99 eV/f.u. The calculation puts the total moment at 1.820 μB per formula unit. The calculation puts the uncorrected formation energy at -0.034 eV/atom. The symmetry is I-42d, No. 122.

(6)
A relaxed structure of Tm6SiTe2. Source: the Alexandria database, functional PBE-GGA.

Geometry as POSCAR:
```
Tm6SiTe2
1.0
-4.4607 -4.3052 0.0592
4.3504 -4.4406 4.8737
-4.0438 4.6486 7.8452
Tm Te Si
12 4 2
direct
0.6332 0.1724 0.9564 Tm
0.1312 0.3076 0.0446 Tm
0.6312 0.1924 0.5446 Tm
0.8671 0.9678 0.2347 Tm
0.6329 0.4678 0.2653 Tm
0.3688 0.8076 0.4554 Tm
0.3671 0.5322 0.7347 Tm
0.8668 0.6724 0.5436 Tm
0.3668 0.8276 0.0436 Tm
0.1329 0.0322 0.7653 Tm
0.1332 0.3276 0.4564 Tm
0.8688 0.6924 0.9554 Tm
0.0951 0.6140 0.2447 Te
0.4049 0.1140 0.2553 Te
0.5951 0.8860 0.7447 Te
0.9049 0.3860 0.7553 Te
0.5000 0.5000 0.0000 Si
0.0000 0.0000 0.5000 Si
```

## Properties
The value obtained for the calculated total energy is -44.47 eV/f.u. The calculation puts the total moment at 0.000 μB per formula unit. The calculation puts the uncorrected formation energy at -0.660 eV/atom. The symmetry is P2_1/c, No. 14.

(7)
A relaxed structure of BiOsSe2. Source: the Alexandria database, functional PBE-GGA.

Geometry as POSCAR:
```
BiOsSe2
1.0
1.7482 0.0000 12.4386
-0.8741 1.5140 12.4386
-0.8741 -1.5140 12.4386
Se Os Bi
2 1 1
direct
0.9365 0.9365 0.9365 Se
0.0635 0.0635 0.0635 Se
0.0000 0.0000 0.0000 Os
0.5000 0.5000 0.5000 Bi
```

## Properties
The value obtained for the calculated total energy is -19.56 eV/f.u. The calculation puts the total moment at 0.000 μB per formula unit. The calculation puts the uncorrected formation energy at 0.629 eV/atom. The symmetry is R-3m, No. 166.

(8)
A relaxed structure of TaCoAs. Source: the Alexandria database, functional PBE-GGA.

Geometry as POSCAR:
```
TaCoAs
1.0
2.8965 0.0000 0.0000
-1.4483 2.5085 0.0000
0.0000 0.0000 6.2566
Ta Co As
1 1 1
direct
0.6667 0.3333 0.6536 Ta
0.3333 0.6667 0.3232 Co
0.0000 0.0000 0.0232 As
```

## Properties
The value obtained for the calculated total energy is -23.29 eV/f.u. The calculation puts the total moment at 0.675 μB per formula unit. The symmetry is P3m1, No. 156. As for the formation energy: 0.32 eV/f.u.

(9)
A relaxed structure of DyZn5. Source: the Alexandria database, functional PBE-GGA.

Geometry as POSCAR:
```
DyZn5
1.0
5.3112 0.0000 0.0000
-2.6556 4.5996 0.0000
0.0000 0.0000 4.1972
Zn Dy
5 1
direct
0.3333 0.6667 0.0000 Zn
0.6667 0.3333 0.0000 Zn
0.5000 0.0000 0.5000 Zn
0.5000 0.5000 0.5000 Zn
0.0000 0.5000 0.5000 Zn
0.0000 0.0000 0.0000 Dy
```

## Properties
The value obtained for the calculated total energy is -12.62 eV/f.u. The calculation puts the total moment at 0.000 μB per formula unit. The symmetry is P6/mmm, No. 191. As for the formation energy: -1.65 eV/f.u.

(10)
A relaxed structure of Pu6N5O. Source: the Alexandria database, functional PBE-GGA.

Geometry as POSCAR:
```
Pu6N5O
1.0
-1.9597 5.5221 -1.5339
-5.3163 1.0772 2.6935
-0.1512 2.5764 5.4798
N Pu O
5 6 1
direct
0.5000 0.1687 0.6625 N
0.5000 0.8313 0.3375 N
0.0000 0.3338 0.3323 N
0.0000 0.6662 0.6677 N
0.5000 0.5000 0.0000 N
0.7491 0.0836 0.3354 Pu
0.2509 0.9164 0.6646 Pu
0.2509 0.5809 0.3354 Pu
0.2524 0.2515 0.0000 Pu
0.7491 0.4191 0.6646 Pu
0.7476 0.7485 0.0000 Pu
0.0000 0.0000 0.0000 O
```

## Properties
The value obtained for the calculated total energy is -150.21 eV/f.u. The calculation puts the total moment at 29.739 μB per formula unit. The calculation puts the uncorrected formation energy at -1.470 eV/atom. The symmetry is C2/m, No. 12.

(11)
A relaxed structure of ErTlGa2. Source: the Alexandria database, functional PBE-GGA.

Geometry as POSCAR:
```
ErTlGa2
1.0
4.3206 0.0000 0.0000
0.0000 4.4969 0.0000
0.0000 0.0000 4.4969
Er Ga Tl
1 2 1
direct
0.5000 0.5000 0.5000 Er
0.0000 0.5000 0.0000 Ga
0.0000 0.0000 0.5000 Ga
0.5000 0.0000 0.0000 Tl
```

## Properties
The value obtained for the calculated total energy is -14.40 eV/f.u. The polymorph energy (0 for the lowest one) comes out at 0 meV per atom. The calculation puts the total moment at 0.000 μB per formula unit. The symmetry is P4/mmm, No. 123. As for the formation energy: -1.42 eV/f.u.

(12)
A relaxed structure of PbIBr4. Source: the Alexandria database, functional PBE-GGA.

Geometry as POSCAR:
```
PbIBr4
1.0
7.5335 -0.0562 -1.7506
-2.9675 6.8602 -1.8261
-0.1954 -0.1355 10.6674
I Pb Br
2 2 8
direct
0.5861 0.3361 0.6722 I
0.4139 0.6639 0.3278 I
0.8004 0.0504 0.1008 Pb
0.1996 0.9496 0.8992 Pb
0.0905 0.4198 0.3477 Br
0.9095 0.5802 0.6523 Br
0.4478 0.7255 0.9021 Br
0.9543 0.1766 0.9021 Br
0.0457 0.8234 0.0979 Br
0.2428 0.0722 0.6523 Br
0.5522 0.2745 0.0979 Br
0.7572 0.9278 0.3477 Br
```

## Properties
The value obtained for the calculated total energy is -14.34 eV/f.u. The calculation puts the total moment at 0.000 μB per formula unit. The calculation puts the uncorrected formation energy at -0.398 eV/atom. The symmetry is C2/c, No. 15.

(13)
A relaxed structure of NdTlOs2O8. Source: the Alexandria database, functional PBE-GGA.

Geometry as POSCAR:
```
NdTlOs2O8
1.0
-1.8354 -5.7428 -1.0819
5.2934 1.0274 2.9058
-3.7770 -0.0955 6.9143
O Nd Os Tl
8 1 2 1
direct
0.3333 0.6667 0.9926 O
0.1775 0.8325 0.6875 O
0.8225 0.1675 0.3125 O
0.3450 0.1775 0.3125 O
0.6667 0.3333 0.0074 O
0.8325 0.6550 0.3125 O
0.6550 0.8225 0.6875 O
0.1675 0.3450 0.6875 O
0.0000 0.0000 0.5000 Nd
0.6667 0.3333 0.2316 Os
0.3333 0.6667 0.7684 Os
0.0000 0.0000 0.0000 Tl
```

## Properties
The value obtained for the calculated total energy is -85.47 eV/f.u. The calculation puts the total moment at 4.024 μB per formula unit. The calculation puts the uncorrected formation energy at -1.350 eV/atom. The symmetry is P-3, No. 147.

(14)
A relaxed structure of BaCdBr4. Source: the Alexandria database, functional PBE-GGA.

Geometry as POSCAR:
```
BaCdBr4
1.0
0.5802 5.6564 3.6841
-6.8150 -3.1110 -4.2816
-2.9883 -5.2991 8.6068
Br Ba Cd
8 2 2
direct
0.4029 0.2861 0.2500 Br
0.0066 0.7057 0.4433 Br
0.9934 0.2943 0.5567 Br
0.0066 0.7057 0.0567 Br
0.3949 0.1151 0.7500 Br
0.6051 0.8849 0.2500 Br
0.9934 0.2943 0.9433 Br
0.5971 0.7139 0.7500 Br
0.0041 0.3986 0.2500 Ba
0.9959 0.6014 0.7500 Ba
0.0045 0.9014 0.2500 Cd
0.9955 0.0986 0.7500 Cd
```

## Properties
The value obtained for the calculated total energy is -18.50 eV/f.u. The polymorph energy (0 for the lowest one) comes out at 9 meV per atom. The calculation puts the total moment at 0.000 μB per formula unit. The calculation puts the uncorrected formation energy at -1.495 eV/atom. The symmetry is P2_1/m, No. 11.

(15)
A relaxed structure of Sm2PaPt. Source: the Alexandria database, functional PBE-GGA.

Geometry as POSCAR:
```
Sm2PaPt
1.0
-2.2011 -0.8449 -2.5077
-2.6454 -2.0988 0.6668
-7.7432 7.5392 1.8941
Pa Pt Sm
1 1 2
direct
0.0000 0.0000 0.0000 Pa
0.5000 0.5000 0.5000 Pt
0.8977 0.8977 0.3068 Sm
0.1023 0.1023 0.6932 Sm
```

## Properties
The value obtained for the calculated total energy is -25.00 eV/f.u. The calculation puts the total moment at 0.000 μB per formula unit. The symmetry is R-3m, No. 166. As for the formation energy: -0.03 eV/f.u.

(16)
A relaxed structure of Na2GaH6Rh. Source: the Alexandria database, functional PBE-GGA.

Geometry as POSCAR:
```
Na2GaH6Rh
1.0
-0.9427 -5.1406 -0.3100
5.1439 -0.9261 -0.3037
2.2698 -3.2832 3.3586
Na Ga H Rh
2 1 6 1
direct
0.7502 0.2498 0.5000 Na
0.2498 0.7502 0.5000 Na
0.5000 0.5000 0.0000 Ga
0.2307 0.7694 0.0000 H
0.7679 0.7679 0.4647 H
0.2300 0.2301 0.0009 H
0.2321 0.2321 0.5353 H
0.7700 0.7699 0.9991 H
0.7693 0.2306 0.0000 H
0.0000 0.0000 0.0000 Rh
```

## Properties
The value obtained for the calculated total energy is -35.10 eV/f.u. The calculation puts the total moment at 0.000 μB per formula unit. The symmetry is I4/mmm, No. 139.

(17)
A relaxed structure of SrMgCl2. Source: the Alexandria database, functional PBE-GGA.

Geometry as POSCAR:
```
SrMgCl2
1.0
-0.9036 -3.2132 4.1963
-1.0904 2.1106 4.8069
-4.9378 -0.4084 2.0497
Sr Cl Mg
1 2 1
direct
0.5000 0.5000 0.5000 Sr
0.7500 0.7500 0.7500 Cl
0.2500 0.2500 0.2500 Cl
0.0000 0.0000 0.0000 Mg
```

## Properties
The value obtained for the calculated total energy is -12.14 eV/f.u. The polymorph energy (0 for the lowest one) comes out at 226 meV per atom. The calculation puts the total moment at 0.000 μB per formula unit. The calculation puts the uncorrected formation energy at -1.292 eV/atom. The symmetry is Fm-3m, No. 225.

(18)
A relaxed structure of LiYAu3. Source: the Alexandria database, functional PBE-GGA.

Geometry as POSCAR:
```
LiYAu3
1.0
-3.5905 -1.2772 -2.6214
-0.6082 -3.7387 2.6546
-2.8519 2.4053 2.7343
Y Au Li
1 3 1
direct
0.5000 0.5000 0.5000 Y
0.5000 0.0000 0.0000 Au
0.0000 0.0000 0.5000 Au
0.0000 0.5000 0.0000 Au
0.0000 0.0000 0.0000 Li
```

## Properties
The value obtained for the calculated total energy is -20.23 eV/f.u. The polymorph energy (0 for the lowest one) comes out at 205 meV per atom. The calculation puts the total moment at 0.000 μB per formula unit. The symmetry is Pm-3m, No. 221. As for the formation energy: -2.02 eV/f.u.

(19)
A relaxed structure of Rb2PmInSe4. Source: the Alexandria database, functional PBE-GGA.

Geometry as POSCAR:
```
Rb2PmInSe4
1.0
-6.1239 -6.4444 -0.8606
5.6901 -5.7419 3.7983
-2.0923 7.6596 4.1508
Pm Se Rb In
2 8 4 2
direct
0.0000 0.5000 0.0000 Pm
0.0000 0.5000 0.5000 Pm
0.2384 0.7042 0.4713 Se
0.2375 0.2632 0.4580 Se
0.7616 0.2958 0.5287 Se
0.2368 0.2625 0.0420 Se
0.2043 0.7384 0.9713 Se
0.7958 0.2616 0.0287 Se
0.7625 0.7368 0.5420 Se
0.7632 0.7375 0.9580 Se
0.5000 0.5000 0.0000 Rb
0.0000 0.0000 0.5000 Rb
0.5000 0.0000 0.0000 Rb
0.5000 0.0000 0.5000 Rb
0.0000 0.0000 0.0000 In
0.5000 0.5000 0.5000 In
```

## Properties
The value obtained for the calculated total energy is -32.93 eV/f.u. The calculation puts the total moment at 0.000 μB per formula unit. The calculation puts the uncorrected formation energy at -1.195 eV/atom. The symmetry is Imma, No. 74.

(20)
A relaxed structure of Ce4Zn3Sb8. Source: the Alexandria database, functional PBE-GGA.

Geometry as POSCAR:
```
Ce4Zn3Sb8
1.0
-2.9026 2.7006 -1.9981
0.8225 -1.9890 -3.8831
-14.5498 -12.9937 3.5736
Zn Ce Sb
3 4 8
direct
0.5000 0.5000 0.5000 Zn
0.5000 0.5000 0.0000 Zn
0.0000 0.0000 0.5000 Zn
0.5000 0.0000 0.6308 Ce
0.5000 0.0000 0.1219 Ce
0.0000 0.5000 0.8781 Ce
0.0000 0.5000 0.3692 Ce
0.0000 0.0000 0.7534 Sb
0.0000 0.5000 0.0789 Sb
0.0000 0.5000 0.5888 Sb
0.5000 0.0000 0.9211 Sb
0.0000 0.0000 0.2466 Sb
0.5000 0.5000 0.7538 Sb
0.5000 0.0000 0.4112 Sb
0.5000 0.5000 0.2462 Sb
```

## Properties
The value obtained for the calculated total energy is -69.90 eV/f.u. The calculation puts the total moment at 0.684 μB per formula unit. The calculation puts the uncorrected formation energy at -0.624 eV/atom. The symmetry is P-4m2, No. 115.